(1)
First-principles (PBE) data for a relaxed GeAuS crystal, as listed in Alexandria. Values from VASP.

Values from the calculation:
For the density of states at the Fermi level, the calculation gives 1.0 states/eV/f.u.

Structure (Quantum ESPRESSO input):
```
&SYSTEM
  ibrav = 0, nat = 3, ntyp = 3
/
ATOMIC_SPECIES
Ge 72.64 Ge.upf
Au 196.97 Au.upf
S 32.06 S.upf
CELL_PARAMETERS angstrom
3.434 0.041 -0.074
-0.046 3.978 0.087
-1.657 -0.136 4.976
ATOMIC_POSITIONS crystal
Ge 0.329 0.189 0.628
Au 0.484 0.690 0.940
S 0.660 0.190 0.300
```


(2)
First-principles (PBE) data for a relaxed Ge2AuS crystal, as listed in Alexandria. Values from VASP.

Values from the calculation:
For the density of states at the Fermi level, the calculation gives 1.4 states/eV/f.u.

Structure (Quantum ESPRESSO input):
```
&SYSTEM
  ibrav = 0, nat = 16, ntyp = 3
/
ATOMIC_SPECIES
Ge 72.64 Ge.upf
Au 196.97 Au.upf
S 32.06 S.upf
CELL_PARAMETERS angstrom
-1.400 -1.913 -2.445
-4.919 -5.617 7.211
-7.936 6.379 -0.445
ATOMIC_POSITIONS crystal
Ge 0.750 0.293 0.434
Ge 0.250 0.207 0.934
Ge 0.250 0.707 0.566
Ge 0.750 0.793 0.066
Ge 0.750 0.640 0.262
Ge 0.250 0.860 0.762
Ge 0.250 0.360 0.738
Ge 0.750 0.140 0.238
Au 0.750 0.523 0.648
Au 0.250 0.977 0.148
Au 0.250 0.477 0.352
Au 0.750 0.023 0.852
S 0.750 0.805 0.418
S 0.250 0.695 0.918
S 0.250 0.195 0.582
S 0.750 0.305 0.082
```


(3)
First-principles (PBE) data for a relaxed GeAu2S2 crystal, as listed in Alexandria. Values from VASP.

Values from the calculation:
For the density of states at the Fermi level, the calculation gives 2.0 states/eV/f.u.

Structure (Quantum ESPRESSO input):
```
&SYSTEM
  ibrav = 0, nat = 10, ntyp = 3
/
ATOMIC_SPECIES
Ge 72.64 Ge.upf
Au 196.97 Au.upf
S 32.06 S.upf
CELL_PARAMETERS angstrom
-4.548 -0.538 2.844
-0.741 -4.904 -2.112
6.081 0.053 4.624
ATOMIC_POSITIONS crystal
Ge 0.500 0.500 0.000
Ge 0.250 0.750 0.500
Au 0.898 0.898 0.795
Au 0.648 0.148 0.295
Au 0.852 0.352 0.705
Au 0.102 0.102 0.205
S 0.459 0.959 0.918
S 0.709 0.709 0.418
S 0.291 0.291 0.582
S 0.041 0.541 0.082
```


(4)
First-principles (PBE) data for a relaxed GeAuS crystal, as listed in Alexandria. Values from VASP.

Values from the calculation:
For the density of states at the Fermi level, the calculation gives 1.0 states/eV/f.u.

Structure (Quantum ESPRESSO input):
```
&SYSTEM
  ibrav = 0, nat = 3, ntyp = 3
/
ATOMIC_SPECIES
Ge 72.64 Ge.upf
Au 196.97 Au.upf
S 32.06 S.upf
CELL_PARAMETERS angstrom
3.432 0.000 0.000
0.000 3.432 0.000
-1.716 -1.716 5.657
ATOMIC_POSITIONS crystal
Ge 0.165 0.165 0.329
Au 0.950 0.950 0.900
S 0.736 0.736 0.471
```


(5)
First-principles (PBE) data for a relaxed Ge2AuS2 crystal, as listed in Alexandria. Values from VASP.

Values from the calculation:
The offset from the most stable computed form is 0.000 eV/atom. For the density of states at the Fermi level, the calculation gives 1.5 states/eV/f.u.

Structure (Quantum ESPRESSO input):
```
&SYSTEM
  ibrav = 0, nat = 10, ntyp = 3
/
ATOMIC_SPECIES
Ge 72.64 Ge.upf
Au 196.97 Au.upf
S 32.06 S.upf
CELL_PARAMETERS angstrom
3.433 0.000 0.000
0.000 6.113 -0.460
-1.716 -1.670 11.331
ATOMIC_POSITIONS crystal
Ge 0.191 0.924 0.383
Ge 0.809 0.076 0.617
Ge 0.376 0.597 0.753
Ge 0.624 0.403 0.247
Au 0.275 0.697 0.550
Au 0.725 0.303 0.450
S 0.060 0.281 0.120
S 0.940 0.719 0.880
S 0.380 0.207 0.761
S 0.620 0.793 0.239
```


(6)
First-principles (PBE) data for a relaxed GeAuS crystal, as listed in Alexandria. Values from VASP.

Values from the calculation:
For the density of states at the Fermi level, the calculation gives 1.1 states/eV/f.u.

Structure (Quantum ESPRESSO input):
```
&SYSTEM
  ibrav = 0, nat = 6, ntyp = 3
/
ATOMIC_SPECIES
Ge 72.64 Ge.upf
Au 196.97 Au.upf
S 32.06 S.upf
CELL_PARAMETERS angstrom
4.002 0.004 0.000
-0.004 6.144 -0.004
0.000 0.003 5.077
ATOMIC_POSITIONS crystal
Ge 0.657 0.374 0.569
Ge 0.157 0.874 0.688
Au 0.157 0.484 0.869
Au 0.657 0.984 0.387
S 0.157 0.095 0.059
S 0.657 0.595 0.197
```


no.,formation energy from raw total energies (meV/atom)
1,-106
2,-14
3,140
4,26
5,-174
6,-116